VASP calculation (PBE-GGA) on a geometry-optimized MgZn2Ga structure.

CIF file:
```
data_MgZn2Ga
_chemical_formula_sum 'Mg4 Zn8 Ga4'
_cell_length_a 4.158
_cell_length_b 9.800
_cell_length_c 6.867
_cell_angle_alpha 90.00
_cell_angle_beta 90.00
_cell_angle_gamma 90.00
_symmetry_space_group_name_H-M 'C m c m'
_symmetry_Int_Tables_number 63
_symmetry_space_group_name_Hall '-C 2c 2'
loop_
_atom_site_label
_atom_site_type_symbol
_atom_site_fract_x
_atom_site_fract_y
_atom_site_fract_z
_atom_site_occupancy
Mg1 Mg 0.000 0.072 0.250 1
Zn1 Zn 0.000 0.375 0.057 1
Ga1 Ga 0.000 0.219 0.750 1
```

Calculated values
Total DFT energy (no corrections): -1.8767 eV per atom
Total magnetic moment: 0.00 μB per atom